Na4Hg2As after structural relaxation. Source: the Alexandria database, functional PBE.

CIF file:
```
data_Na4Hg2As
_cell_length_a 5.6539
_cell_length_b 5.6539
_cell_length_c 15.0455
_cell_angle_alpha 90.00
_cell_angle_beta 90.00
_cell_angle_gamma 90.00
_space_group_name_H-M_alt 'I 4/m m m'
_space_group_IT_number 139
_space_group_name_Hall '-I 4 2'
loop_
_atom_site_label
_atom_site_type_symbol
_atom_site_fract_x
_atom_site_fract_y
_atom_site_fract_z
_atom_site_occupancy
Na1 Na 0.0000 0.0000 0.1852 1
Na2 Na 0.0000 0.5000 0.0000 1
Hg1 Hg 0.0000 0.0000 0.3930 1
As1 As 0.0000 0.0000 0.0000 1
```

Calculated values
DOS at the Fermi energy, states/eV/cell: 4.316
Formation energy, eV/atom: -0.195
Total magnetic moment, μB/atom: 0.00

PaAuBr6 after structural relaxation. Source: the Alexandria database, functional PBE.

CIF file:
```
data_PaAuBr6
_cell_length_a 7.3779
_cell_length_b 7.4033
_cell_length_c 7.9804
_cell_angle_alpha 115.47
_cell_angle_beta 91.92
_cell_angle_gamma 118.12
_space_group_name_H-M_alt 'P -1'
_space_group_IT_number 2
_space_group_name_Hall '-P 1'
loop_
_atom_site_label
_atom_site_type_symbol
_atom_site_fract_x
_atom_site_fract_y
_atom_site_fract_z
_atom_site_occupancy
Pa1 Pa 0.0000 0.0000 0.0000 1
Au1 Au 0.5000 0.0000 0.0000 1
Br1 Br 0.0654 0.4304 0.2274 1
Br2 Br 0.2263 0.1588 0.7840 1
Br3 Br 0.3717 0.1502 0.2761 1
```

Calculated values
Formation energy without anion corrections, eV per atom: -1.084
Polymorph energy (0 for the lowest one), meV per atom: 0
Total magnetic moment, μB/atom: 0.00

PuBiH2 after structural relaxation. Source: the Alexandria database, functional PBE.

CIF file:
```
data_PuBiH2
_cell_length_a 3.6053
_cell_length_b 6.1093
_cell_length_c 5.8502
_cell_angle_alpha 90.00
_cell_angle_beta 90.00
_cell_angle_gamma 90.00
_space_group_name_H-M_alt 'P m m n'
_space_group_IT_number 59
loop_
_space_group_symop_operation_xyz
'x,y,z'
'-x,-y,-z'
'-x+1/2,-y+1/2,z'
'x+1/2,y+1/2,-z'
'x+1/2,-y,-z'
'-x+1/2,y,z'
'-x,y+1/2,-z'
'x,-y+1/2,z'
loop_
_atom_site_label
_atom_site_type_symbol
_atom_site_fract_x
_atom_site_fract_y
_atom_site_fract_z
_atom_site_occupancy
Pu1 Pu 0.2500 0.2500 0.0966 1
Bi1 Bi 0.2500 0.7500 0.4196 1
H1 H 0.2500 0.5509 0.9065 1
```

Calculated values
DOS at the Fermi energy, states/eV/cell: 16.414
Polymorph energy (0 for the lowest one), meV per atom: 0
Total magnetic moment, μB/atom: 1.20

La6Hg5Os after structural relaxation. Source: the Alexandria database, functional PBE.

CIF file:
```
data_La6Hg5Os
_cell_length_a 5.4048
_cell_length_b 7.8225
_cell_length_c 16.1665
_cell_angle_alpha 90.00
_cell_angle_beta 90.00
_cell_angle_gamma 90.00
_space_group_name_H-M_alt 'I m m m'
_space_group_IT_number 71
_space_group_name_Hall '-I 2 2'
loop_
_atom_site_label
_atom_site_type_symbol
_atom_site_fract_x
_atom_site_fract_y
_atom_site_fract_z
_atom_site_occupancy
La1 La 0.0000 0.2212 0.0000 1
La2 La 0.0000 0.2708 0.3482 1
Hg1 Hg 0.0000 0.0000 0.1892 1
Hg2 Hg 0.0000 0.0000 0.5000 1
Hg3 Hg 0.0000 0.5000 0.1668 1
Os1 Os 0.0000 0.5000 0.5000 1
```

Calculated values
DOS at the Fermi energy, states/eV/cell: 21.760
Formation energy, eV/atom: -0.436
Total magnetic moment, μB/atom: 0.00

Pr2Zn3Ag4 after structural relaxation. Source: the Alexandria database, functional PBE.

CIF file:
```
data_Pr2Zn3Ag4
_cell_length_a 5.3842
_cell_length_b 9.4723
_cell_length_c 14.4295
_cell_angle_alpha 90.00
_cell_angle_beta 90.00
_cell_angle_gamma 90.00
_space_group_name_H-M_alt 'F m m m'
_space_group_IT_number 69
_space_group_name_Hall '-F 2 2'
loop_
_atom_site_label
_atom_site_type_symbol
_atom_site_fract_x
_atom_site_fract_y
_atom_site_fract_z
_atom_site_occupancy
Pr1 Pr 0.0000 0.0000 0.1318 1
Zn1 Zn 0.0000 0.0000 0.5000 1
Zn2 Zn 0.2500 0.2500 0.0000 1
Ag1 Ag 0.0000 0.1648 0.3302 1
```

Calculated values
DOS at the Fermi energy, states/eV/cell: 15.654
Formation energy, eV/atom: -0.290
Total magnetic moment, μB/atom: 0.00

Tm3In4Hg4 after structural relaxation. Source: the Alexandria database, functional PBE.

CIF file:
```
data_Tm3In4Hg4
_cell_length_a 4.2922
_cell_length_b 7.7853
_cell_length_c 16.5821
_cell_angle_alpha 90.00
_cell_angle_beta 90.00
_cell_angle_gamma 90.00
_space_group_name_H-M_alt 'I m m m'
_space_group_IT_number 71
_space_group_name_Hall '-I 2 2'
loop_
_atom_site_label
_atom_site_type_symbol
_atom_site_fract_x
_atom_site_fract_y
_atom_site_fract_z
_atom_site_occupancy
Tm1 Tm 0.0000 0.0000 0.0000 1
Tm2 Tm 0.0000 0.5000 0.1143 1
In1 In 0.0000 0.3083 0.3395 1
Hg1 Hg 0.0000 0.0000 0.2389 1
Hg2 Hg 0.0000 0.1923 0.5000 1
```

Calculated values
DOS at the Fermi energy, states/eV/cell: 10.393
Formation energy, eV/atom: -0.207
Total magnetic moment, μB/atom: 0.00

Na3Ga3Te2O12 after structural relaxation. Source: the Alexandria database, functional PBE.

CIF file:
```
data_Na3Ga3Te2O12
_cell_length_a 12.5415
_cell_length_b 12.5415
_cell_length_c 12.5415
_cell_angle_alpha 90.00
_cell_angle_beta 90.00
_cell_angle_gamma 90.00
_space_group_name_H-M_alt 'I a -3 d'
_space_group_IT_number 230
_space_group_name_Hall '-I 4bd 2c 3'
loop_
_atom_site_label
_atom_site_type_symbol
_atom_site_fract_x
_atom_site_fract_y
_atom_site_fract_z
_atom_site_occupancy
Na1 Na 0.0000 0.2500 0.1250 1
Ga1 Ga 0.0000 0.2500 0.3750 1
Te1 Te 0.0000 0.0000 0.0000 1
O1 O 0.0300 0.0465 0.6454 1
```

Calculated values
DOS at the Fermi energy, states/eV/cell: 0.000
Formation energy without anion corrections, eV per atom: -1.569
Total magnetic moment, μB/atom: 0.00

LiPuSiNi after structural relaxation. Source: the Alexandria database, functional PBE.

CIF file:
```
data_LiPuSiNi
_cell_length_a 6.2904
_cell_length_b 6.2904
_cell_length_c 6.2904
_cell_angle_alpha 90.00
_cell_angle_beta 90.00
_cell_angle_gamma 90.00
_space_group_name_H-M_alt 'F -4 3 m'
_space_group_IT_number 216
_space_group_name_Hall 'F -4 2 3'
loop_
_atom_site_label
_atom_site_type_symbol
_atom_site_fract_x
_atom_site_fract_y
_atom_site_fract_z
_atom_site_occupancy
Li1 Li 0.0000 0.0000 0.0000 1
Pu1 Pu 0.2500 0.2500 0.7500 1
Si1 Si 0.2500 0.2500 0.2500 1
Ni1 Ni 0.0000 0.0000 0.5000 1
```

Calculated values
DOS at the Fermi energy, states/eV/cell: 30.828
Formation energy without anion corrections, eV per atom: -0.235
Total magnetic moment, μB/atom: 1.25

CePmSm4S8 after structural relaxation. Source: the Alexandria database, functional PBE.

CIF file:
```
data_CePmSm4S8
_cell_length_a 8.2715
_cell_length_b 8.2715
_cell_length_c 20.2912
_cell_angle_alpha 90.00
_cell_angle_beta 90.00
_cell_angle_gamma 120.00
_space_group_name_H-M_alt 'R 3 m'
_space_group_IT_number 160
_space_group_name_Hall 'R 3 -2"'
loop_
_atom_site_label
_atom_site_type_symbol
_atom_site_fract_x
_atom_site_fract_y
_atom_site_fract_z
_atom_site_occupancy
Ce1 Ce 0.0000 0.0000 0.0000 1
Pm1 Pm 0.0000 0.0000 0.6251 1
Sm1 Sm 0.0000 0.0000 0.2503 1
Sm2 Sm 0.9998 0.4999 0.1251 1
S1 S 0.0000 0.0000 0.3828 1
S2 S 0.0000 0.0000 0.8653 1
S3 S 0.0250 0.5125 0.3788 1
S4 S 0.1761 0.3521 0.2055 1
```

Calculated values
DOS at the Fermi energy, states/eV/cell: 38.463
Formation energy without anion corrections, eV per atom: -1.905
Total magnetic moment, μB/atom: 0.12

CsNa7Cd5 after structural relaxation. Source: the Alexandria database, functional PBE.

CIF file:
```
data_CsNa7Cd5
_cell_length_a 6.2840
_cell_length_b 11.2220
_cell_length_c 11.5478
_cell_angle_alpha 90.00
_cell_angle_beta 90.00
_cell_angle_gamma 90.00
_space_group_name_H-M_alt 'I m m 2'
_space_group_IT_number 44
_space_group_name_Hall 'I 2 -2'
loop_
_atom_site_label
_atom_site_type_symbol
_atom_site_fract_x
_atom_site_fract_y
_atom_site_fract_z
_atom_site_occupancy
Cs1 Cs 0.0000 0.0000 0.0000 1
Na1 Na 0.0000 0.0000 0.3392 1
Na2 Na 0.0000 0.0000 0.6485 1
Na3 Na 0.0000 0.2843 0.4976 1
Na4 Na 0.0000 0.3493 0.9894 1
Na5 Na 0.0000 0.5000 0.2614 1
Cd1 Cd 0.0000 0.5000 0.7255 1
Cd2 Cd 0.2492 0.2564 0.7447 1
```

Calculated values
DOS at the Fermi energy, states/eV/cell: 11.206
Formation energy, eV/atom: -0.067
Total magnetic moment, μB/atom: 0.00

CuNi5Pd8 after structural relaxation. Source: the Alexandria database, functional PBE.

CIF file:
```
data_CuNi5Pd8
_cell_length_a 7.2988
_cell_length_b 7.2988
_cell_length_c 7.6014
_cell_angle_alpha 90.00
_cell_angle_beta 90.00
_cell_angle_gamma 90.00
_space_group_name_H-M_alt 'I -4'
_space_group_IT_number 82
_space_group_name_Hall 'I -4'
loop_
_atom_site_label
_atom_site_type_symbol
_atom_site_fract_x
_atom_site_fract_y
_atom_site_fract_z
_atom_site_occupancy
Cu1 Cu 0.0000 0.0000 0.0000 1
Ni1 Ni 0.0000 0.5000 0.2500 1
Ni2 Ni 0.1121 0.7025 0.6695 1
Pd1 Pd 0.0683 0.8303 0.3387 1
Pd2 Pd 0.0955 0.6798 0.9975 1
```

Calculated values
DOS at the Fermi energy, states/eV/cell: 44.501
Formation energy, eV/atom: 0.198
Total magnetic moment, μB/atom: 0.45

Tb2Dy2Y5 after structural relaxation. Source: the Alexandria database, functional PBE.

CIF file:
```
data_Tb2Dy2Y5
_cell_length_a 14.9032
_cell_length_b 11.6591
_cell_length_c 6.8225
_cell_angle_alpha 90.00
_cell_angle_beta 90.00
_cell_angle_gamma 90.00
_space_group_name_H-M_alt 'I m a 2'
_space_group_IT_number 46
_space_group_name_Hall 'I 2 -2a'
loop_
_atom_site_label
_atom_site_type_symbol
_atom_site_fract_x
_atom_site_fract_y
_atom_site_fract_z
_atom_site_occupancy
Tb1 Tb 0.1283 0.0091 0.0000 1
Dy1 Dy 0.0000 0.0000 0.4336 1
Dy2 Dy 0.2500 0.5157 0.0590 1
Y1 Y 0.0531 0.2368 0.6507 1
Y2 Y 0.1430 0.7398 0.8290 1
Y3 Y 0.2500 0.2367 0.3419 1
```

Calculated values
DOS at the Fermi energy, states/eV/cell: 65.466
Polymorph energy (0 for the lowest one), meV per atom: 176
Formation energy, eV/atom: 0.237
Total magnetic moment, μB/atom: 0.00